The following is a DFT calculation (PBE) of a relaxed AlCdRe2 crystal.

## Properties
- theoretical density (g/cm³) = 12.8
- formation enthalpy at 0 K (kJ per mole of atoms) = 30
- Fermi-level density of states (states/eV/f.u.) = 2.7
- space-group type = Cmm2, No. 35

Unit cell a=2.950 b=4.752 c=9.495 alpha=90.00 beta=90.00 gamma=90.00
Sites, in units of the cell vectors:
Al: 0.000 0.000 0.000
Al: 0.500 0.500 0.000
Cd: 0.000 0.500 0.274
Cd: 0.500 0.000 0.274
Re: 0.000 0.000 0.546
Re: 0.000 0.500 0.771
Re: 0.500 0.000 0.771
Re: 0.500 0.500 0.546